Here is Pr12Cu6Pd after structural relaxation from the Alexandria database. Energies are from PBE.

## Properties
total moment: 0.000 μB per atom
calculated formation energy: 27 meV/atom

Cell: 8.4777 8.4777 8.4777 Å, 98.42 98.42 98.42°
Positions (direct):
Pr: 0.0479 0.9084 0.6742
Pr: 0.0916 0.3258 0.9521
Pr: 0.1887 0.5643 0.4134
Pr: 0.3258 0.9521 0.0916
Pr: 0.4134 0.1887 0.5643
Pr: 0.4357 0.5866 0.8113
Pr: 0.5643 0.4134 0.1887
Pr: 0.5866 0.8113 0.4357
Pr: 0.6742 0.0479 0.9084
Pr: 0.8113 0.4357 0.5866
Pr: 0.9084 0.6742 0.0479
Pr: 0.9521 0.0916 0.3258
Cu: 0.1281 0.3101 0.6215
Cu: 0.3101 0.6215 0.1281
Cu: 0.3785 0.8719 0.6899
Cu: 0.6215 0.1281 0.3101
Cu: 0.6899 0.3785 0.8719
Cu: 0.8719 0.6899 0.3785
Pd: 0.0000 0.0000 0.0000

Here is Pr4CuPd3 after structural relaxation from the Alexandria database. Energies are from PBE.

## Properties
total moment: 0.000 μB per atom
calculated formation energy: -627 meV/atom

Cell: 3.9218 4.6728 10.9609 Å, 90.00 90.00 90.00°
Positions (direct):
Pr: 0.0000 0.0000 0.0000
Pr: 0.0000 0.5000 0.2746
Pr: 0.5000 0.0000 0.4991
Pr: 0.5000 0.5000 0.7748
Cu: 0.0000 0.0000 0.7124
Pd: 0.0000 0.5000 0.5612
Pd: 0.5000 0.0000 0.2226
Pd: 0.5000 0.5000 0.0526

Here is PrCu3Pd2 after structural relaxation from the Alexandria database. Energies are from PBE.

## Properties
total moment: 0.000 μB per atom
calculated formation energy: -385 meV/atom

Cell: 5.2408 5.2408 5.2408 Å, 123.50 116.42 90.18°
Positions (direct):
Pr: 0.0000 0.0000 0.0000
Cu: 0.2832 0.7832 0.5000
Cu: 0.6113 0.3613 0.7500
Cu: 0.6113 0.8614 0.2500
Pd: 0.1163 0.3627 0.7536
Pd: 0.6092 0.3627 0.2464

Here is Pr3CuPd2 after structural relaxation from the Alexandria database. Energies are from PBE.

## Properties
total moment: 0.000 μB per atom
calculated formation energy: -539 meV/atom

Cell: 12.1032 4.1545 12.1492 Å, 90.00 90.00 90.00°
Positions (direct):
Pr: 0.0562 0.2500 0.1290
Pr: 0.1250 0.7500 0.5639
Pr: 0.2123 0.2500 0.8123
Pr: 0.2877 0.7500 0.3123
Pr: 0.3750 0.2500 0.0639
Pr: 0.4438 0.7500 0.6290
Pr: 0.5562 0.2500 0.3710
Pr: 0.6250 0.7500 0.9361
Pr: 0.7123 0.2500 0.6877
Pr: 0.7877 0.7500 0.1877
Pr: 0.8750 0.2500 0.4361
Pr: 0.9438 0.7500 0.8710
Cu: 0.1235 0.2500 0.3782
Cu: 0.3765 0.7500 0.8782
Cu: 0.6235 0.2500 0.1218
Cu: 0.8765 0.7500 0.6218
Pd: 0.0112 0.7500 0.3086
Pd: 0.1835 0.7500 0.9930
Pd: 0.3165 0.2500 0.4930
Pd: 0.4888 0.2500 0.8086
Pd: 0.5112 0.7500 0.1914
Pd: 0.6835 0.7500 0.5070
Pd: 0.8165 0.2500 0.0070
Pd: 0.9888 0.2500 0.6914

Here is PrCu2Pd6 after structural relaxation from the Alexandria database. Energies are from PBE.

## Properties
total moment: 0.000 μB per atom
calculated formation energy: 95 meV/atom

Cell: 7.9881 7.9881 7.9881 Å, 60.00 60.00 60.00°
Positions (direct):
Pr: 0.1250 0.1250 0.1250
Pr: 0.8750 0.8750 0.8750
Cu: 0.0000 0.5000 0.5000
Cu: 0.5000 0.0000 0.5000
Cu: 0.5000 0.5000 0.0000
Cu: 0.5000 0.5000 0.5000
Pd: 0.1200 0.1200 0.6300
Pd: 0.1200 0.6300 0.1200
Pd: 0.1200 0.6300 0.6300
Pd: 0.3700 0.3700 0.8800
Pd: 0.3700 0.8800 0.3700
Pd: 0.3700 0.8800 0.8800
Pd: 0.6300 0.1200 0.1200
Pd: 0.6300 0.1200 0.6300
Pd: 0.6300 0.6300 0.1200
Pd: 0.8800 0.3700 0.3700
Pd: 0.8800 0.3700 0.8800
Pd: 0.8800 0.8800 0.3700

Here is PrCu5Pd after structural relaxation from the Alexandria database. Energies are from PBE.

## Properties
total moment: 0.000 μB per atom
calculated formation energy: -247 meV/atom

Cell: 8.2377 5.0786 10.3298 Å, 90.00 90.00 90.00°
Positions (direct):
Pr: 0.2400 0.2500 0.0650
Pr: 0.2600 0.7500 0.5650
Pr: 0.7400 0.2500 0.4350
Pr: 0.7600 0.7500 0.9350
Cu: 0.0573 0.7500 0.1040
Cu: 0.0656 0.0024 0.3123
Cu: 0.0656 0.4976 0.3123
Cu: 0.0947 0.2500 0.5171
Cu: 0.1851 0.2500 0.7509
Cu: 0.3149 0.7500 0.2509
Cu: 0.4053 0.7500 0.0171
Cu: 0.4344 0.5024 0.8123
Cu: 0.4344 0.9976 0.8123
Cu: 0.4427 0.2500 0.6040
Cu: 0.5573 0.7500 0.3960
Cu: 0.5656 0.0024 0.1877
Cu: 0.5656 0.4976 0.1877
Cu: 0.5947 0.2500 0.9829
Cu: 0.6851 0.2500 0.7491
Cu: 0.8149 0.7500 0.2491
Cu: 0.9053 0.7500 0.4829
Cu: 0.9344 0.5024 0.6877
Cu: 0.9344 0.9976 0.6877
Cu: 0.9427 0.2500 0.8960
Pd: 0.1424 0.7500 0.8588
Pd: 0.3576 0.2500 0.3588
Pd: 0.6424 0.7500 0.6412
Pd: 0.8576 0.2500 0.1412

Here is Pr2Cu3Pd4 after structural relaxation from the Alexandria database. Energies are from PBE.

## Properties
total moment: 0.000 μB per atom
calculated formation energy: -515 meV/atom

Cell: 8.1681 7.2347 5.2875 Å, 79.77 60.65 39.57°
Positions (direct):
Pr: 0.1424 0.1424 0.8576
Pr: 0.8576 0.8576 0.1424
Cu: 0.0000 0.0000 0.5000
Cu: 0.5000 0.5000 0.0000
Cu: 0.5000 0.5000 0.5000
Pd: 0.1703 0.5035 0.4965
Pd: 0.4965 0.8297 0.1703
Pd: 0.5035 0.1703 0.8297
Pd: 0.8297 0.4965 0.5035

Here is PrCu6Pd4 after structural relaxation from the Alexandria database. Energies are from PBE.

## Properties
total moment: 0.000 μB per atom
calculated formation energy: -58 meV/atom

Cell: 6.4700 6.4700 6.4700 Å, 123.45 123.45 84.13°
Positions (direct):
Pr: 0.0000 0.0000 0.0000
Cu: 0.0000 0.5000 0.5000
Cu: 0.2658 0.2658 0.6951
Cu: 0.4293 0.7342 0.0000
Cu: 0.5000 0.0000 0.5000
Cu: 0.5707 0.5707 0.3049
Cu: 0.7342 0.4293 0.0000
Pd: 0.0869 0.5396 0.0000
Pd: 0.4604 0.4604 0.5473
Pd: 0.5396 0.0869 0.0000
Pd: 0.9131 0.9131 0.4527

Here is Pr2Cu5Pd12 after structural relaxation from the Alexandria database. Energies are from PBE.

## Properties
total moment: 0.000 μB per atom
calculated formation energy: -352 meV/atom

Cell: 6.8690 6.8690 6.8690 Å, 82.28 82.28 82.28°
Positions (direct):
Pr: 0.1603 0.1603 0.1603
Pr: 0.8397 0.8397 0.8397
Cu: 0.0000 0.5000 0.5000
Cu: 0.4069 0.4069 0.4069
Cu: 0.5000 0.0000 0.5000
Cu: 0.5000 0.5000 0.0000
Cu: 0.5931 0.5931 0.5931
Pd: 0.1574 0.1574 0.6391
Pd: 0.1574 0.6391 0.1574
Pd: 0.2044 0.5000 0.7956
Pd: 0.2044 0.7956 0.5000
Pd: 0.3609 0.8426 0.8426
Pd: 0.5000 0.2044 0.7956
Pd: 0.5000 0.7956 0.2044
Pd: 0.6391 0.1574 0.1574
Pd: 0.7956 0.2044 0.5000
Pd: 0.7956 0.5000 0.2044
Pd: 0.8426 0.3609 0.8426
Pd: 0.8426 0.8426 0.3609

Here is Pr3Cu4Pd2 after structural relaxation from the Alexandria database. Energies are from PBE.

## Properties
total moment: 0.000 μB per atom
calculated formation energy: -424 meV/atom

Cell: 5.8286 5.8286 8.5820 Å, 107.64 107.64 43.35°
Positions (direct):
Pr: 0.0000 0.0000 0.0000
Pr: 0.3308 0.3308 0.3363
Pr: 0.6692 0.6692 0.6637
Cu: 0.0488 0.0488 0.3909
Cu: 0.2753 0.2753 0.9494
Cu: 0.7247 0.7247 0.0506
Cu: 0.9512 0.9512 0.6091
Pd: 0.3886 0.3886 0.7275
Pd: 0.6114 0.6114 0.2725

Here is PrCu6Pd12 after structural relaxation from the Alexandria database. Energies are from PBE.

## Properties
total moment: 0.000 μB per atom
calculated formation energy: -18 meV/atom

Cell: 7.1638 7.1638 7.1638 Å, 106.14 106.14 106.14°
Positions (direct):
Pr: 0.0000 0.0000 0.0000
Cu: 0.2842 0.2842 0.7056
Cu: 0.2842 0.7056 0.2842
Cu: 0.2944 0.7158 0.7158
Cu: 0.7056 0.2842 0.2842
Cu: 0.7158 0.2944 0.7158
Cu: 0.7158 0.7158 0.2944
Pd: 0.1170 0.5000 0.8830
Pd: 0.1170 0.8830 0.5000
Pd: 0.1373 0.3835 0.3835
Pd: 0.3835 0.1373 0.3835
Pd: 0.3835 0.3835 0.1373
Pd: 0.5000 0.1170 0.8830
Pd: 0.5000 0.8830 0.1170
Pd: 0.6165 0.6165 0.8627
Pd: 0.6165 0.8627 0.6165
Pd: 0.8627 0.6165 0.6165
Pd: 0.8830 0.1170 0.5000
Pd: 0.8830 0.5000 0.1170

Here is Pr3Cu4Pd4 after structural relaxation from the Alexandria database. Energies are from PBE.

## Properties
total moment: 0.000 μB per atom
calculated formation energy: -461 meV/atom

Cell: 8.3108 8.3108 8.3108 Å, 150.63 129.45 59.54°
Positions (direct):
Pr: 0.0000 0.0000 0.0000
Pr: 0.3596 0.8596 0.5000
Pr: 0.6404 0.1404 0.5000
Cu: 0.2123 0.2123 0.0000
Cu: 0.3265 0.5000 0.8265
Cu: 0.6735 0.5000 0.1735
Cu: 0.7877 0.7877 0.0000
Pd: 0.0308 0.3336 0.6972
Pd: 0.3636 0.6664 0.6972
Pd: 0.6364 0.3336 0.3028
Pd: 0.9692 0.6664 0.3028

Here is PrCuPd after structural relaxation from the Alexandria database. Energies are from PBE.

## Properties
total moment: 0.000 μB per atom
calculated formation energy: -525 meV/atom

Cell: 4.4306 4.4306 3.7623 Å, 90.00 90.00 120.00°
Positions (direct):
Pr: 0.0000 0.0000 0.0000
Cu: 0.3333 0.6667 0.5000
Pd: 0.6667 0.3333 0.5000

Here is Pr3Cu4Pd4 after structural relaxation from the Alexandria database. Energies are from PBE.

## Properties
total moment: 0.000 μB per atom
calculated formation energy: -373 meV/atom

Cell: 6.6136 6.6136 6.6136 Å, 109.47 109.47 109.47°
Positions (direct):
Pr: 0.0000 0.5000 0.5000
Pr: 0.5000 0.0000 0.5000
Pr: 0.5000 0.5000 0.0000
Cu: 0.0000 0.0000 0.7723
Cu: 0.0000 0.7723 0.0000
Cu: 0.2277 0.2277 0.2277
Cu: 0.7723 0.0000 0.0000
Pd: 0.0000 0.0000 0.4081
Pd: 0.0000 0.4081 0.0000
Pd: 0.4081 0.0000 0.0000
Pd: 0.5919 0.5919 0.5919

Here is PrCu2Pd after structural relaxation from the Alexandria database. Energies are from PBE.

## Properties
total moment: 0.000 μB per atom
calculated formation energy: -379 meV/atom

Cell: 5.4615 5.4615 6.6934 Å, 90.00 90.00 132.14°
Positions (direct):
Pr: 0.0902 0.9098 0.7500
Pr: 0.9098 0.0902 0.2500
Cu: 0.3798 0.6202 0.5639
Cu: 0.3798 0.6202 0.9361
Cu: 0.6202 0.3798 0.0639
Cu: 0.6202 0.3798 0.4361
Pd: 0.2039 0.7961 0.2500
Pd: 0.7961 0.2039 0.7500

Here is Pr5Cu2Pd5 after structural relaxation from the Alexandria database. Energies are from PBE.

## Properties
total moment: 0.000 μB per atom
calculated formation energy: -619 meV/atom

Cell: 8.0344 8.0344 11.2915 Å, 128.12 128.12 29.93°
Positions (direct):
Pr: 0.0000 0.0000 0.0000
Pr: 0.1031 0.1031 0.4189
Pr: 0.2022 0.2022 0.8250
Pr: 0.7978 0.7978 0.1750
Pr: 0.8969 0.8969 0.5811
Cu: 0.3603 0.3603 0.7417
Cu: 0.6397 0.6397 0.2583
Pd: 0.2618 0.2618 0.3298
Pd: 0.4308 0.4308 0.1484
Pd: 0.5000 0.5000 0.5000
Pd: 0.5692 0.5692 0.8516
Pd: 0.7382 0.7382 0.6702

Here is PrCuPd after structural relaxation from the Alexandria database. Energies are from PBE.

## Properties
total moment: 0.000 μB per atom
calculated formation energy: -525 meV/atom

Cell: 11.7539 11.7539 11.7539 Å, 158.35 44.78 141.29°
Positions (direct):
Pr: 0.0000 0.0000 0.0000
Pr: 0.0833 0.9178 0.1656
Pr: 0.3285 0.9964 0.3322
Pr: 0.4225 0.9225 0.5000
Pr: 0.6642 0.9964 0.6678
Pr: 0.7522 0.9178 0.8344
Cu: 0.1910 0.2929 0.8980
Cu: 0.3538 0.6237 0.7301
Cu: 0.3949 0.2929 0.1020
Cu: 0.7303 0.2931 0.4372
Cu: 0.8558 0.2931 0.5628
Cu: 0.8937 0.6237 0.2699
Pd: 0.0201 0.6174 0.4027
Pd: 0.0609 0.2988 0.7621
Pd: 0.2147 0.6174 0.5973
Pd: 0.5367 0.2988 0.2379
Pd: 0.5459 0.6182 0.9277
Pd: 0.6904 0.6182 0.0723

Here is Pr2CuPd after structural relaxation from the Alexandria database. Energies are from PBE.

## Properties
total moment: 0.000 μB per atom
calculated formation energy: -415 meV/atom

Cell: 3.6411 3.6411 7.2568 Å, 90.00 90.00 90.00°
Positions (direct):
Pr: 0.0000 0.0000 0.2482
Pr: 0.0000 0.0000 0.7518
Cu: 0.5000 0.5000 0.0000
Pd: 0.5000 0.5000 0.5000

Here is Pr3Cu2Pd5 after structural relaxation from the Alexandria database. Energies are from PBE.

## Properties
total moment: 0.000 μB per atom
calculated formation energy: -613 meV/atom

Cell: 9.9566 9.9566 4.0119 Å, 90.00 90.00 90.00°
Positions (direct):
Pr: 0.0000 0.0000 0.0000
Pr: 0.1752 0.3248 0.0000
Pr: 0.3248 0.8248 0.0000
Pr: 0.5000 0.5000 0.0000
Pr: 0.6752 0.1752 0.0000
Pr: 0.8248 0.6752 0.0000
Cu: 0.1171 0.6171 0.0000
Cu: 0.3829 0.1171 0.0000
Cu: 0.6171 0.8829 0.0000
Cu: 0.8829 0.3829 0.0000
Pd: 0.0000 0.5000 0.5000
Pd: 0.0699 0.7809 0.5000
Pd: 0.2191 0.0699 0.5000
Pd: 0.2809 0.5699 0.5000
Pd: 0.4301 0.2809 0.5000
Pd: 0.5000 0.0000 0.5000
Pd: 0.5699 0.7191 0.5000
Pd: 0.7191 0.4301 0.5000
Pd: 0.7809 0.9301 0.5000
Pd: 0.9301 0.2191 0.5000

Here is PrCuPd after structural relaxation from the Alexandria database. Energies are from PBE.

## Properties
total moment: 0.000 μB per atom
calculated formation energy: -376 meV/atom

Cell: 5.3313 5.3313 5.3313 Å, 140.15 140.15 57.62°
Positions (direct):
Pr: 0.0000 0.0000 0.0000
Cu: 0.3135 0.3135 0.0000
Pd: 0.6811 0.6811 0.0000